Material: Be2SeBr
Method: DFT, PBE-GGA
State: relaxed

Geometry as CIF:
```
data_Be2SeBr
_symmetry_space_group_name_H-M 'P 1'
_symmetry_Int_Tables_number 1
_cell_length_a 3.421
_cell_length_b 3.421
_cell_length_c 6.506
_cell_angle_alpha 90.00
_cell_angle_beta 90.00
_cell_angle_gamma 90.00
loop_
_symmetry_equiv_pos_as_xyz
'x,y,z'
loop_
_atom_site_label
_atom_site_type_symbol
_atom_site_fract_x
_atom_site_fract_y
_atom_site_fract_z
_atom_site_occupancy
Be1 Be 0.000 0.000 0.000 1
Be2 Be 0.500 0.500 0.302 1
Se1 Se 0.500 0.500 0.966 1
Br1 Br 0.000 0.000 0.404 1
```

Results
SG ... P4mm, No. 99
Volume ... 76 Å³/f.u.
Mass density ... 3.86 Mg/m³
Energy relative to the elements, uncorrected ... 0.0200 eV/atom